Version A
Here is Al3GePt after structural relaxation from Alexandria. Energies are from PBE.

Cell lengths 4.763, 4.763, 4.763 Å; angles 90.00, 90.00, 90.00 degrees
Fractional positions:
1 Ge 0.500 0.500 0.500
2 Al 0.000 0.500 0.000
3 Al 0.000 0.000 0.500
4 Al 0.500 0.000 0.000
5 Pt 0.000 0.000 0.000

Calculated values
Theoretical density   5.4 Mg/m³
D(E_F)   0.688 states/eV per atom



Version B
Here is Al3GePt after structural relaxation from Alexandria. Energies are from PBE.

Cell lengths 4.725, 4.725, 4.725 Å; angles 90.00, 90.00, 90.00 degrees
Fractional positions:
1 Ge 0.000 0.000 0.000
2 Al 0.000 0.500 0.000
3 Al 0.000 0.000 0.500
4 Al 0.500 0.000 0.000
5 Pt 0.500 0.500 0.500

Calculated values
Theoretical density   5.5 Mg/m³
D(E_F)   0.668 states/eV per atom



Ranked by calculated energy, most stable first: version A, version B.